Record 1
Below is a crystal of Mn3CdNi relaxed with PBEsol, with properties calculated at the meta-GGA SCAN level.

Lattice parameters (Å, degrees): 4.467 4.467 4.467 90.00 90.00 90.00
Space group Pm-3m (No. 221)
Symmetry-distinct sites (fractional):
Mn 0.000 0.000 0.500
Cd 0.500 0.500 0.500
Ni 0.000 0.000 0.000

Results
Formation energy from the elements, eV per atom: 0.3211
DOS at the Fermi energy, states/eV per cell: 3.02
Spin magnetization, μB per atom: 2.65
Total energy, eV/atom: -19.950

Record 2
Below is a crystal of Mn3Al10 relaxed with PBEsol, with properties calculated at the meta-GGA SCAN level.

Lattice parameters (Å, degrees): 7.4526 7.4526 7.7178 90.00 90.00 120.00
Space group P6_3/mmc (No. 194)
Symmetry-distinct sites (fractional):
Mn 0.1206 0.2411 0.2500
Al 0.0000 0.0000 0.0000
Al 0.0863 0.5432 0.2500
Al 0.1999 0.3998 0.5646

Results
Formation energy from the elements, eV per atom: -0.2942
DOS at the Fermi energy, states/eV per cell: 9.08
Spin magnetization, μB per atom: 0.38
Total energy, eV/atom: -10.470

Record 3
Below is a crystal of HoCdRh2 relaxed with PBEsol, with properties calculated at the meta-GGA SCAN level.

Lattice parameters (Å, degrees): 6.495 6.495 6.495 90.00 90.00 90.00
Space group Fm-3m (No. 225)
Symmetry-distinct sites (fractional):
Ho 0.000 0.000 0.000
Cd 0.000 0.000 0.500
Rh 0.250 0.250 0.250

Results
Formation energy from the elements, eV per atom: -0.6547
DOS at the Fermi energy, states/eV per cell: 9.34
Spin magnetization, μB per atom: 0.00
Total energy, eV/atom: -37.391

Record 4
Below is a crystal of La2PtPb relaxed with PBEsol, with properties calculated at the meta-GGA SCAN level.

Lattice parameters (Å, degrees): 3.628 3.628 8.151 90.00 90.00 90.00
Space group P4/mmm (No. 123)
Symmetry-distinct sites (fractional):
La 0.000 0.000 0.213
Pt 0.500 0.500 0.000
Pb 0.500 0.500 0.500

Results
Formation energy from the elements, eV per atom: -1.0533
DOS at the Fermi energy, states/eV per cell: 2.04
Spin magnetization, μB per atom: 0.00
Total energy, eV/atom: -59.099

Record 5
Below is a crystal of SrHg2Cl relaxed with PBEsol, with properties calculated at the meta-GGA SCAN level.

Lattice parameters (Å, degrees): 4.474 4.498 5.771 90.00 90.00 90.00
Space group Pmmm (No. 47)
Symmetry-distinct sites (fractional):
Sr 0.000 0.000 0.000
Hg 0.500 0.500 0.257
Cl 0.000 0.000 0.500

Results
DOS at the Fermi energy, states/eV per cell: 1.27
Spin magnetization, μB per atom: 0.00
Distance to the lowest polymorph of the same formula, meV per atom: 146
Total energy, eV/atom: -42.582

Record 6
Below is a crystal of Lu3Cu4Ge4 relaxed with PBEsol, with properties calculated at the meta-GGA SCAN level.

Lattice parameters (Å, degrees): 3.811 4.025 24.166 90.00 90.00 90.00
Space group Immm (No. 71)
Symmetry-distinct sites (fractional):
Lu 0.000 0.000 0.000
Lu 0.000 0.500 0.149
Cu 0.000 0.000 0.252
Cu 0.000 0.500 0.405
Ge 0.000 0.000 0.450
Ge 0.000 0.500 0.309

Results
Formation energy from the elements, eV per atom: -0.6335
DOS at the Fermi energy, states/eV per cell: 8.23
Spin magnetization, μB per atom: 0.00
Total energy, eV/atom: -28.195

no.,calculated volume (A^3/atom)
1,17.8
2,14.3
3,17.1
4,26.8
5,29.0
6,16.9